(1)
Density functional theory data (PBE-GGA) for a relaxed structure of Zr5In4Hg.

It has space group P4/mmm (No. 123), with a = 3.1624 Å, b = 3.1624 Å, c = 22.0087 Å, α = 90.00°, β = 90.00° and γ = 90.00°. The inequivalent atoms are Zr at (0.0000, 0.0000, 0.0000), Zr at (0.0000, 0.0000, 0.2021), Zr at (0.0000, 0.0000, 0.4022), In at (0.5000, 0.5000, 0.1009), In at (0.5000, 0.5000, 0.3024) and Hg at (0.5000, 0.5000, 0.5000).

The calculation puts the density of states at the Fermi level at 0.850 states/eV per atom. Its raw total energy is -56.90 eV for the cell shown. The energy of formation from the pure elements is -0.291 eV/atom.

***

(2)
Density functional theory data (PBE-GGA) for a relaxed structure of Pm3Dy8.

It has space group R-3 (No. 148, hexagonal axes), with a = 9.7920 Å, b = 9.7920 Å, c = 13.0194 Å, α = 90.00°, β = 90.00° and γ = 120.00°. The inequivalent atoms are Pm at (0.0000, 0.5000, 0.0000), Dy at (0.0000, 0.0000, 0.3729) and Dy at (0.0291, 0.8086, 0.1118).

For the energy above the most stable polymorph in this dataset, the calculation gives 539 meV per atom. The calculation puts the density of states at the Fermi level at 1.697 states/eV per atom. Its raw total energy is -134.88 eV for the cell shown. The energy of formation from the pure elements is 0.555 eV/atom.

***

(3)
Density functional theory data (PBE-GGA) for a relaxed structure of LiTaOF2.

It has space group P4/mmm (No. 123), with a = 3.3587 Å, b = 3.3587 Å, c = 4.2012 Å, α = 90.00°, β = 90.00° and γ = 90.00°. The inequivalent atoms are Li at (0.0000, 0.0000, 0.0000), Ta at (0.5000, 0.5000, 0.5000), O at (0.0000, 0.0000, 0.5000) and F at (0.0000, 0.5000, 0.0000).

For the energy above the most stable polymorph in this dataset, the calculation gives 449 meV per atom. The calculation puts the density of states at the Fermi level at 0.646 states/eV per atom. Its raw total energy is -30.46 eV for the cell shown. For the formation energy (no corrections), the calculation gives -1.598 eV per atom.

***

(4)
Density functional theory data (PBE-GGA) for a relaxed structure of Zn2PBr.

It has space group Cm (No. 8), with a = 7.3702 Å, b = 3.7583 Å, c = 6.6143 Å, α = 90.00°, β = 94.68° and γ = 90.00°. The inequivalent atoms are Zn at (0.0000, 0.0000, 0.0000), Zn at (0.2300, 0.5000, 0.6672), P at (0.4380, 0.0000, 0.7844) and Br at (0.1866, 0.0000, 0.3119).

For the energy above the most stable polymorph in this dataset, the calculation gives 167 meV per atom. Its raw total energy is -21.56 eV for the cell shown. For the formation energy (no corrections), the calculation gives -0.287 eV per atom.

***

(5)
Density functional theory data (PBE-GGA) for a relaxed structure of La2CuSbRh.

It has space group P4/mmm (No. 123), with a = 5.4949 Å, b = 5.4949 Å, c = 4.6291 Å, α = 90.00°, β = 90.00° and γ = 90.00°. The inequivalent atoms are La at (0.0000, 0.5000, 0.0000), Cu at (0.0000, 0.0000, 0.0000), Sb at (0.0000, 0.0000, 0.5000) and Rh at (0.5000, 0.5000, 0.5000).

The calculation puts the density of states at the Fermi level at 0.846 states/eV per atom. Its raw total energy is -25.23 eV for the cell shown. For the formation energy (no corrections), the calculation gives 0.040 eV per atom.

***

(6)
Density functional theory data (PBE-GGA) for a relaxed structure of CuTc2HPt.

It has space group P4/mmm (No. 123), with a = 3.8202 Å, b = 3.8202 Å, c = 4.0813 Å, α = 90.00°, β = 90.00° and γ = 90.00°. The inequivalent atoms are Cu at (0.0000, 0.0000, 0.0000), Tc at (0.0000, 0.5000, 0.5000), H at (0.0000, 0.0000, 0.5000) and Pt at (0.5000, 0.5000, 0.0000).

The calculation puts the density of states at the Fermi level at 1.141 states/eV per atom. Its raw total energy is -33.51 eV for the cell shown.

***

(7)
Density functional theory data (PBE-GGA) for a relaxed structure of Li13Pb3.

It has space group Amm2 (No. 38), with a = 9.6658 Å, b = 7.9654 Å, c = 8.0739 Å, α = 90.00°, β = 90.00° and γ = 90.00°. The inequivalent atoms are Li at (0.0000, 0.0000, 0.0000), Li at (0.0000, 0.0000, 0.4615), Li at (0.0000, 0.2442, 0.7281), Li at (0.2406, 0.0000, 0.6455), Li at (0.2663, 0.1947, 0.9463), Li at (0.5000, 0.0000, 0.4636), Li at (0.5000, 0.1793, 0.1709), Pb at (0.2336, 0.0000, 0.2573) and Pb at (0.5000, 0.0000, 0.8311).

The calculation puts the density of states at the Fermi level at 0.541 states/eV per atom. Its raw total energy is -78.84 eV for the cell shown. The energy of formation from the pure elements is -0.213 eV/atom.

***

(8)
Density functional theory data (PBE-GGA) for a relaxed structure of Li2DyMg.

It has space group P4/mmm (No. 123), with a = 3.5589 Å, b = 3.5589 Å, c = 7.2161 Å, α = 90.00°, β = 90.00° and γ = 90.00°. The inequivalent atoms are Li at (0.0000, 0.0000, 0.2154), Dy at (0.5000, 0.5000, 0.5000) and Mg at (0.5000, 0.5000, 0.0000).

For the energy above the most stable polymorph in this dataset, the calculation gives 0 meV per atom. The calculation puts the density of states at the Fermi level at 0.770 states/eV per atom. Its raw total energy is -9.76 eV for the cell shown. The energy of formation from the pure elements is 0.067 eV/atom.